No. 1
Pm2DyCuS5 | PBE | optimized geometry

Properties
Formation energy from raw total energies   -1.750 eV per atom
D(E_F)   0.15 states/eV/cell

abc: 3.899 16.861 11.597
angles: 90.00 90.00 90.00
Space group Cmc2_1 (No. 36)
One atom of each set of equivalent atoms:
1 Pm 0.000 0.108 0.000 x4
2 Pm 0.000 0.121 0.625 x4
3 Dy 0.000 0.195 0.325 x4
4 Cu 0.000 0.442 0.769 x4
5 S 0.000 0.043 0.374 x4
6 S 0.000 0.289 0.989 x4
7 S 0.000 0.315 0.662 x4
8 S 0.000 0.357 0.316 x4
9 S 0.000 0.498 0.093 x4

No. 2
K3Pr3TiS8 | PBE | optimized geometry

Properties
Formation energy from raw total energies   -1.685 eV per atom

abc: 8.1515 8.1515 22.5635
angles: 90.00 90.00 120.00
Space group R-3m (No. 166, hexagonal axes)
One atom of each set of equivalent atoms:
1 K 0.0000 0.5000 0.0000 x9
2 Pr 0.0000 0.5000 0.5000 x9
3 Ti 0.0000 0.0000 0.5000 x3
4 S 0.0000 0.0000 0.2372 x6
5 S 0.0385 0.5192 0.2297 x18

No. 3
Pm2YTmSc5 | PBE | optimized geometry

Properties
Energy of formation   0.278 eV per atom
D(E_F)   44.45 states/eV/cell

abc: 8.278 8.278 14.597
angles: 90.00 90.00 90.00
Space group I4/mcm (No. 140)
One atom of each set of equivalent atoms:
1 Pm 0.120 0.380 0.000 x8
2 Y 0.000 0.500 0.250 x4
3 Tm 0.000 0.000 0.250 x4
4 Sc 0.000 0.000 0.000 x4
5 Sc 0.212 0.288 0.362 x16

No. 4
CdPb2Se | PBE | optimized geometry

Properties
Formation energy from raw total energies   0.006 eV per atom
D(E_F)   14.14 states/eV/cell

abc: 7.611 7.611 7.611
angles: 90.00 90.00 90.00
Space group Fm-3m (No. 225)
One atom of each set of equivalent atoms:
1 Cd 0.000 0.000 0.000 x4
2 Pb 0.250 0.250 0.250 x8
3 Se 0.000 0.000 0.500 x4

Number 1: magnetization 0.000 μB/cell. Number 2: magnetization 0.000 μB/cell. Number 3: magnetization 0.000 μB/cell. Number 4: magnetization 0.000 μB/cell.